ReW4 | Alexandria | GGA-PBE | relaxed; mass density = 19.2 g/cm³; ΔH_f (0 K) = 30 meV/atom; M_tot = 0.00 μB/f.u.; excess energy over the best structure of this formula in the dataset = 0 meV/atom; energy = -12.82 eV/atom; density of states at the Fermi level = 3.33 states/eV per cell; space-group type = No. 87
1.0
3.1747 0.0000 0.0000
1.5873 5.0080 0.0000
-1.5873 0.0000 5.0080
W Re
4 1
Cartesian
0.0000 0.9946 2.9921
3.1747 4.0134 2.0158
1.5873 2.0158 0.9946
1.5873 2.9921 4.0134
0.0000 0.0000 0.0000